# GGA-PBE Cs2ScVSe4, optimized geometry
# - DOS(E_F) (states/eV/atom) = 0.65
# - E_form (uncorrected) (meV per atom) = -1193
# - total magnetization (μB/f.u.) = 2.0
# - E (eV per atom) = -5.080
data_Cs2ScVSe4
_cell_length_a 6.3081
_cell_length_b 14.7915
_cell_length_c 26.2019
_cell_angle_alpha 90.00
_cell_angle_beta 90.00
_cell_angle_gamma 90.00
_symmetry_space_group_name_H-M 'F d d d'
_symmetry_Int_Tables_number 70
loop_
_symmetry_equiv_pos_as_xyz
'x,y,z'
'-x,-y,-z'
'-x+1/4,-y+1/4,z'
'x+1/4,y+1/4,-z'
'x,-y+1/4,-z+1/4'
'-x,y+1/4,z+1/4'
'-x+1/4,y,-z+1/4'
'x+1/4,-y,z+1/4'
'x,y+1/2,z+1/2'
'-x,-y+1/2,-z+1/2'
'-x+1/4,-y+3/4,z+1/2'
'x+1/4,y+3/4,-z+1/2'
'x,-y+3/4,-z+3/4'
'-x,y+3/4,z+3/4'
'-x+1/4,y+1/2,-z+3/4'
'x+1/4,-y+1/2,z+3/4'
'x+1/2,y,z+1/2'
'-x+1/2,-y,-z+1/2'
'-x+3/4,-y+1/4,z+1/2'
'x+3/4,y+1/4,-z+1/2'
'x+1/2,-y+1/4,-z+3/4'
'-x+1/2,y+1/4,z+3/4'
'-x+3/4,y,-z+3/4'
'x+3/4,-y,z+3/4'
'x+1/2,y+1/2,z'
'-x+1/2,-y+1/2,-z'
'-x+3/4,-y+3/4,z'
'x+3/4,y+3/4,-z'
'x+1/2,-y+3/4,-z+1/4'
'-x+1/2,y+3/4,z+1/4'
'-x+3/4,y+1/2,-z+1/4'
'x+3/4,-y+1/2,z+1/4'
loop_
_atom_site_label
_atom_site_type_symbol
_atom_site_fract_x
_atom_site_fract_y
_atom_site_fract_z
Cs1 Cs 0.1250 0.1250 0.3025
Sc1 Sc 0.1250 0.1250 0.1250
V1 V 0.1250 0.1250 0.6250
Se1 Se 0.1071 0.2795 0.8245